# ZnSn6Pd12

Crystalline ZnSn6Pd12 at its relaxed geometry (PBE, Alexandria via LeMat-Bulk).

Magnetic moment in μB per cell: 0.0
E_tot in eV per atom: -5.059
Energy of formation from the pure elements in meV per atom: -448

The structure in CIF format:
```
data_ZnSn6Pd12
_chemical_formula_sum 'Zn1 Sn6 Pd12'
_symmetry_space_group_name_H-M 'P 1'
_symmetry_Int_Tables_number 1
_symmetry_space_group_name_Hall 'P 1'
_cell_length_a 7.426
_cell_length_b 7.426
_cell_length_c 7.426
_cell_angle_alpha 106.95
_cell_angle_beta 106.95
_cell_angle_gamma 106.95
loop_
_atom_site_label
_atom_site_fract_x
_atom_site_fract_y
_atom_site_fract_z
Zn1 0.000 0.000 0.000
Sn1 0.784 0.908 0.529
Sn2 0.471 0.216 0.092
Sn3 0.092 0.471 0.216
Sn4 0.216 0.092 0.471
Sn5 0.529 0.784 0.908
Sn6 0.908 0.529 0.784
Pd1 0.818 0.520 0.399
Pd2 0.399 0.818 0.520
Pd3 0.520 0.399 0.818
Pd4 0.182 0.480 0.601
Pd5 0.601 0.182 0.480
Pd6 0.480 0.601 0.182
Pd7 0.888 0.730 0.153
Pd8 0.270 0.847 0.112
Pd9 0.847 0.112 0.270
Pd10 0.112 0.270 0.847
Pd11 0.730 0.153 0.888
Pd12 0.153 0.888 0.730
```